No. 1
This record from Alexandria via LeMat-Bulk describes a relaxed structure of Ta2PbSe. The functional is PBE.

```
data_Ta2PbSe
_chemical_formula_sum 'Ta8 Pb4 Se4'
_cell_length_a 6.742
_cell_length_b 6.742
_cell_length_c 6.742
_cell_angle_alpha 90.00
_cell_angle_beta 90.00
_cell_angle_gamma 90.00
_space_group_name_H-M_alt 'F m -3 m'
_space_group_IT_number 225
_space_group_name_Hall '-F 4 2 3'
loop_
_atom_site_label
_atom_site_type_symbol
_atom_site_fract_x
_atom_site_fract_y
_atom_site_fract_z
Ta1 Ta 0.250 0.250 0.250
Pb1 Pb 0.000 0.000 0.000
Se1 Se 0.000 0.000 0.500
```

Computed properties:
- Polymorph energy (0 for the lowest one): 443.7 meV per atom
- Energy relative to the elements, uncorrected: 0.377 eV per atom
- Total DFT energy (no corrections): -117.55 eV for the cell shown
- Magnetic moment: 0.000 μB/f.u.

No. 2
This record from Alexandria via LeMat-Bulk describes a relaxed structure of Tb5ZnRh2. The functional is PBE.

```
data_Tb5ZnRh2
_chemical_formula_sum 'Tb20 Zn4 Rh8'
_cell_length_a 7.757
_cell_length_b 7.757
_cell_length_c 13.172
_cell_angle_alpha 90.00
_cell_angle_beta 90.00
_cell_angle_gamma 90.00
_space_group_name_H-M_alt 'I 4/m c m'
_space_group_IT_number 140
_space_group_name_Hall '-I 4 2c'
loop_
_atom_site_label
_atom_site_type_symbol
_atom_site_fract_x
_atom_site_fract_y
_atom_site_fract_z
Tb1 Tb 0.000 0.000 0.000
Tb2 Tb 0.162 0.338 0.139
Zn1 Zn 0.000 0.000 0.250
Rh1 Rh 0.138 0.362 0.500
```

Computed properties:
- DFT formation energy: -0.56 eV/atom
- Total DFT energy (no corrections): -174.35 eV for the cell shown
- Magnetic moment: 0.000 μB/f.u.

No. 3
This record from Alexandria via LeMat-Bulk describes a relaxed structure of TbNd4Au5. The functional is PBE.

```
data_TbNd4Au5
_chemical_formula_sum 'Tb1 Nd4 Au5'
_cell_length_a 3.670
_cell_length_b 3.670
_cell_length_c 18.751
_cell_angle_alpha 90.00
_cell_angle_beta 90.00
_cell_angle_gamma 90.00
_space_group_name_H-M_alt 'P 4/m m m'
_space_group_IT_number 123
_space_group_name_Hall '-P 4 2'
loop_
_atom_site_label
_atom_site_type_symbol
_atom_site_fract_x
_atom_site_fract_y
_atom_site_fract_z
Tb1 Tb 0.000 0.000 0.000
Nd1 Nd 0.000 0.000 0.197
Nd2 Nd 0.000 0.000 0.399
Au1 Au 0.500 0.500 0.092
Au2 Au 0.500 0.500 0.298
Au3 Au 0.500 0.500 0.500
```

Computed properties:
- DFT formation energy: -0.78 eV/atom
- Total DFT energy (no corrections): -47.91 eV for the cell shown
- Magnetic moment: 0.000 μB/f.u.

No. 4
This record from Alexandria via LeMat-Bulk describes a relaxed structure of HfTi4Tl. The functional is PBE.

```
data_HfTi4Tl
_chemical_formula_sum 'Hf2 Ti8 Tl2'
_cell_length_a 4.265
_cell_length_b 12.670
_cell_length_c 4.197
_cell_angle_alpha 90.00
_cell_angle_beta 90.00
_cell_angle_gamma 90.00
_space_group_name_H-M_alt 'C m m m'
_space_group_IT_number 65
_space_group_name_Hall '-C 2 2'
loop_
_atom_site_label
_atom_site_type_symbol
_atom_site_fract_x
_atom_site_fract_y
_atom_site_fract_z
Hf1 Hf 0.000 0.000 0.000
Ti1 Ti 0.000 0.174 0.500
Ti2 Ti 0.000 0.323 0.000
Tl1 Tl 0.000 0.500 0.500
```

Computed properties:
- Polymorph energy (0 for the lowest one): 0.0 meV per atom
- DFT formation energy: 0.03 eV/atom
- Total DFT energy (no corrections): -87.42 eV for the cell shown
- Magnetic moment: 0.000 μB/f.u.

No. 5
This record from Alexandria via LeMat-Bulk describes a relaxed structure of Ca3EuZn. The functional is PBE.

```
data_Ca3EuZn
_chemical_formula_sum 'Ca3 Eu1 Zn1'
_cell_length_a 5.845
_cell_length_b 5.845
_cell_length_c 5.845
_cell_angle_alpha 90.00
_cell_angle_beta 90.00
_cell_angle_gamma 90.00
_space_group_name_H-M_alt 'P m -3 m'
_space_group_IT_number 221
_space_group_name_Hall '-P 4 2 3'
loop_
_atom_site_label
_atom_site_type_symbol
_atom_site_fract_x
_atom_site_fract_y
_atom_site_fract_z
Ca1 Ca 0.000 0.000 0.500
Eu1 Eu 0.500 0.500 0.500
Zn1 Zn 0.000 0.000 0.000
```

Computed properties:
- DFT formation energy: 0.01 eV/atom
- Total DFT energy (no corrections): -17.51 eV for the cell shown
- Magnetic moment: 7.853 μB/f.u.

No. 6
This record from Alexandria via LeMat-Bulk describes a relaxed structure of HfAgMo2P. The functional is PBE.

```
data_HfAgMo2P
_chemical_formula_sum 'Hf1 Ag1 Mo2 P1'
_cell_length_a 4.778
_cell_length_b 4.778
_cell_length_c 5.125
_cell_angle_alpha 90.00
_cell_angle_beta 90.00
_cell_angle_gamma 90.00
_space_group_name_H-M_alt 'P 4/m m m'
_space_group_IT_number 123
_space_group_name_Hall '-P 4 2'
loop_
_atom_site_label
_atom_site_type_symbol
_atom_site_fract_x
_atom_site_fract_y
_atom_site_fract_z
Hf1 Hf 0.000 0.000 0.000
Ag1 Ag 0.000 0.000 0.500
Mo1 Mo 0.000 0.500 0.000
P1 P 0.500 0.500 0.500
```

Computed properties:
- DFT formation energy: 2.03 eV/atom
- Total DFT energy (no corrections): -29.72 eV for the cell shown
- Magnetic moment: 0.000 μB/f.u.

No. 7
This record from Alexandria via LeMat-Bulk describes a relaxed structure of LiAg2Sn. The functional is PBE.

```
data_LiAg2Sn
_chemical_formula_sum 'Li1 Ag2 Sn1'
_cell_length_a 3.442
_cell_length_b 3.442
_cell_length_c 6.430
_cell_angle_alpha 90.00
_cell_angle_beta 90.00
_cell_angle_gamma 90.00
_space_group_name_H-M_alt 'P 4/m m m'
_space_group_IT_number 123
_space_group_name_Hall '-P 4 2'
loop_
_atom_site_label
_atom_site_type_symbol
_atom_site_fract_x
_atom_site_fract_y
_atom_site_fract_z
Li1 Li 0.000 0.000 0.000
Ag1 Ag 0.500 0.500 0.222
Sn1 Sn 0.000 0.000 0.500
```

Computed properties:
- DFT formation energy: -0.13 eV/atom
- Total DFT energy (no corrections): -12.15 eV for the cell shown
- Magnetic moment: 0.000 μB/f.u.

No. 8
This record from Alexandria via LeMat-Bulk describes a relaxed structure of CeHo2Hg4. The functional is PBE.

```
data_CeHo2Hg4
_chemical_formula_sum 'Ce3 Ho6 Hg12'
_cell_length_a 4.9535
_cell_length_b 4.9535
_cell_length_c 26.8946
_cell_angle_alpha 90.00
_cell_angle_beta 90.00
_cell_angle_gamma 120.00
_space_group_name_H-M_alt 'R -3 m'
_space_group_IT_number 166
_space_group_name_Hall '-R 3 2"'
loop_
_atom_site_label
_atom_site_type_symbol
_atom_site_fract_x
_atom_site_fract_y
_atom_site_fract_z
Ce1 Ce 0.0000 0.0000 0.0000
Ho1 Ho 0.0000 0.0000 0.1246
Hg1 Hg 0.0000 0.0000 0.2461
Hg2 Hg 0.0000 0.0000 0.3952
```

Computed properties:
- Polymorph energy (0 for the lowest one): 11.8 meV per atom
- DFT formation energy: -0.25 eV/atom
- Total DFT energy (no corrections): -54.19 eV for the cell shown
- Magnetic moment: 1.241 μB/f.u.

No. 9
This record from Alexandria via LeMat-Bulk describes a relaxed structure of SrSe2Cl. The functional is PBE.

```
data_SrSe2Cl
_chemical_formula_sum 'Sr2 Se4 Cl2'
_cell_length_a 4.622
_cell_length_b 6.365
_cell_length_c 7.759
_cell_angle_alpha 90.00
_cell_angle_beta 90.00
_cell_angle_gamma 90.00
_space_group_name_H-M_alt 'I m m 2'
_space_group_IT_number 44
loop_
_space_group_symop_operation_xyz
'x,y,z'
'-x,-y,z'
'-x,y,z'
'x,-y,z'
'x+1/2,y+1/2,z+1/2'
'-x+1/2,-y+1/2,z+1/2'
'-x+1/2,y+1/2,z+1/2'
'x+1/2,-y+1/2,z+1/2'
loop_
_atom_site_label
_atom_site_type_symbol
_atom_site_fract_x
_atom_site_fract_y
_atom_site_fract_z
Sr1 Sr 0.000 0.000 0.000
Se1 Se 0.000 0.000 0.552
Se2 Se 0.000 0.500 0.178
Cl1 Cl 0.000 0.500 0.718
```

Computed properties:
- Polymorph energy (0 for the lowest one): 84.2 meV per atom
- Energy relative to the elements, uncorrected: -1.200 eV per atom
- Total DFT energy (no corrections): -30.60 eV for the cell shown
- Magnetic moment: 0.000 μB/f.u.

No. 10
This record from Alexandria via LeMat-Bulk describes a relaxed structure of ErThSe2N. The functional is PBE.

```
data_ErThSe2N
_chemical_formula_sum 'Er2 Th2 Se4 N2'
_cell_length_a 4.054
_cell_length_b 4.054
_cell_length_c 14.551
_cell_angle_alpha 90.00
_cell_angle_beta 90.00
_cell_angle_gamma 90.00
_space_group_name_H-M_alt 'P 4/n m m'
_space_group_IT_number 129
loop_
_space_group_symop_operation_xyz
'x,y,z'
'-x,-y,-z'
'-y+1/2,x,z'
'y+1/2,-x,-z'
'-x+1/2,-y+1/2,z'
'x+1/2,y+1/2,-z'
'y,-x+1/2,z'
'-y,x+1/2,-z'
'x+1/2,-y,-z'
'-x+1/2,y,z'
'-y,-x,-z'
'y,x,z'
'-x,y+1/2,-z'
'x,-y+1/2,z'
'y+1/2,x+1/2,-z'
'-y+1/2,-x+1/2,z'
loop_
_atom_site_label
_atom_site_type_symbol
_atom_site_fract_x
_atom_site_fract_y
_atom_site_fract_z
Er1 Er 0.250 0.250 0.120
Th1 Th 0.250 0.250 0.581
Se1 Se 0.250 0.250 0.300
Se2 Se 0.250 0.250 0.910
N1 N 0.250 0.750 0.500
```

Computed properties:
- Energy relative to the elements, uncorrected: -1.846 eV per atom
- Total DFT energy (no corrections): -73.02 eV for the cell shown
- Magnetic moment: 0.000 μB/f.u.

No. 11
This record from Alexandria via LeMat-Bulk describes a relaxed structure of CsErReO6. The functional is PBE.

```
data_CsErReO6
_chemical_formula_sum 'Cs2 Er2 Re2 O12'
_cell_length_a 5.725
_cell_length_b 10.098
_cell_length_c 6.298
_cell_angle_alpha 90.00
_cell_angle_beta 90.27
_cell_angle_gamma 90.00
_space_group_name_H-M_alt 'C 1 2 1'
_space_group_IT_number 5
loop_
_space_group_symop_operation_xyz
'x,y,z'
'-x,y,-z'
'x+1/2,y+1/2,z'
'-x+1/2,y+1/2,-z'
loop_
_atom_site_label
_atom_site_type_symbol
_atom_site_fract_x
_atom_site_fract_y
_atom_site_fract_z
Cs1 Cs 0.000 0.000 0.000
Er1 Er 0.000 0.681 0.500
Re1 Re 0.000 0.321 0.500
O1 O 0.105 0.483 0.643
O2 O 0.176 0.221 0.688
O3 O 0.243 0.803 0.684
```

Computed properties:
- Energy relative to the elements, uncorrected: -2.029 eV per atom
- Total DFT energy (no corrections): -131.74 eV for the cell shown
- Magnetic moment: 1.056 μB/f.u.

No. 12
This record from Alexandria via LeMat-Bulk describes a relaxed structure of SmInHg. The functional is PBE.

```
data_SmInHg
_chemical_formula_sum 'Sm1 In1 Hg1'
_cell_length_a 4.9227
_cell_length_b 4.9227
_cell_length_c 3.7149
_cell_angle_alpha 90.00
_cell_angle_beta 90.00
_cell_angle_gamma 120.00
_space_group_name_H-M_alt 'P 3 m 1'
_space_group_IT_number 156
loop_
_space_group_symop_operation_xyz
'x,y,z'
'-y,x-y,z'
'-x+y,-x,z'
'-y,-x,z'
'-x+y,y,z'
'x,x-y,z'
loop_
_atom_site_label
_atom_site_type_symbol
_atom_site_fract_x
_atom_site_fract_y
_atom_site_fract_z
Sm1 Sm 0.0000 0.0000 0.0000
In1 In 0.3333 0.6667 0.5054
Hg1 Hg 0.6667 0.3333 0.4913
```

Computed properties:
- DFT formation energy: -0.46 eV/atom
- Total DFT energy (no corrections): -9.12 eV for the cell shown
- Magnetic moment: 0.000 μB/f.u.

No. 13
This record from Alexandria via LeMat-Bulk describes a relaxed structure of Er2Mg3Sc2. The functional is PBE.

```
data_Er2Mg3Sc2
_chemical_formula_sum 'Er2 Mg3 Sc2'
_cell_length_a 3.377
_cell_length_b 7.697
_cell_length_c 8.206
_cell_angle_alpha 111.96
_cell_angle_beta 101.74
_cell_angle_gamma 102.55
_space_group_name_H-M_alt 'P -1'
_space_group_IT_number 2
loop_
_space_group_symop_operation_xyz
'x,y,z'
'-x,-y,-z'
loop_
_atom_site_label
_atom_site_type_symbol
_atom_site_fract_x
_atom_site_fract_y
_atom_site_fract_z
Er1 Er 0.182 0.048 0.323
Mg1 Mg 0.000 0.500 0.500
Mg2 Mg 0.415 0.621 0.224
Sc1 Sc 0.362 0.780 0.933
```

Computed properties:
- Polymorph energy (0 for the lowest one): 0.0 meV per atom
- DFT formation energy: 0.04 eV/atom
- Total DFT energy (no corrections): -26.29 eV for the cell shown
- Magnetic moment: 0.000 μB/f.u.